No. 1
First-principles (PBE) data for a relaxed Sc3GaFe crystal, as listed in Alexandria.

energy = -5.30 eV per atom
DOS(E_F) = 14.3 states/eV/f.u.
symmetry = Pm-3m (221)

Cell lengths 4.9877, 4.9877, 4.9877 Å; angles 90.00, 90.00, 90.00 degrees
With the nearest neighbours (Å) after each atom.
Fractional positions:
Fe 0.5000 0.5000 0.5000  12 Sc 3.53
Sc 0.0000 0.0000 0.5000  2 Ga 2.49
Sc 0.0000 0.5000 0.0000  2 Ga 2.49
Sc 0.5000 0.0000 0.0000  2 Ga 2.49
Ga 0.0000 0.0000 0.0000  6 Sc 2.49

***

No. 2
First-principles (PBE) data for a relaxed Sc4GaFe crystal, as listed in Alexandria.

energy = -6.42 eV per atom
DOS(E_F) = 6.6 states/eV/f.u.
symmetry = C2/c (15)

Cell lengths 5.5910, 7.0498, 7.0498 Å; angles 111.95, 99.12, 99.12 degrees
With the nearest neighbours (Å) after each atom.
Fractional positions:
Sc 0.6032 0.2096 0.3638  2 Fe 2.69-2.77, 2 Ga 2.91-3.00
Sc 0.8968 0.6362 0.7904  2 Fe 2.69-2.77, 2 Ga 2.91-3.00
Sc 0.5438 0.2735 0.9402  2 Fe 2.51-2.55
Sc 0.4562 0.7265 0.0598  2 Fe 2.51-2.55
Sc 0.1032 0.3638 0.2096  2 Fe 2.69-2.77, 2 Ga 2.91-3.00
Sc 0.9562 0.0598 0.7265  2 Fe 2.51-2.55
Sc 0.3968 0.7904 0.6362  2 Fe 2.69-2.77, 2 Ga 2.91-3.00
Sc 0.0438 0.9402 0.2735  2 Fe 2.51-2.55
Fe 0.7500 0.0017 0.9983  8 Sc 2.51-2.77, 2 Fe 2.80
Fe 0.2500 0.9983 0.0017  8 Sc 2.51-2.77, 2 Fe 2.80
Ga 0.2500 0.3717 0.6283  8 Sc 2.89-3.02
Ga 0.7500 0.6283 0.3717  8 Sc 2.89-3.02

***

No. 3
First-principles (PBE) data for a relaxed Sc2GaFe3 crystal, as listed in Alexandria.

energy = -7.19 eV per atom
DOS(E_F) = 6.4 states/eV/f.u.
symmetry = C2/m (12)

Cell lengths 4.9847, 4.9847, 5.0250 Å; angles 89.97, 119.81, 119.96 degrees
With the nearest neighbours (Å) after each atom.
Fractional positions:
Fe 0.5000 0.5000 0.5000  4 Fe 2.49, 2 Ga 2.51
Fe 0.5000 0.0000 0.5000  4 Fe 2.49, 2 Ga 2.51
Fe 0.0000 0.0000 0.5000  4 Fe 2.49, 2 Ga 2.51
Sc 0.2425 0.6212 0.8636  9 Fe 2.91-2.99, 3 Ga 2.93, 4 Sc 2.99-3.09
Sc 0.7575 0.3788 0.1364  9 Fe 2.91-2.99, 3 Ga 2.93, 4 Sc 2.99-3.09
Ga 0.0000 0.0000 0.0000  6 Fe 2.51

***

No. 4
First-principles (PBE) data for a relaxed ScGa2Fe crystal, as listed in Alexandria.

energy = -5.51 eV per atom
DOS(E_F) = 3.3 states/eV/f.u.
symmetry = P4/mmm (123)

Cell lengths 4.0955, 3.9511, 3.9511 Å; angles 90.00, 90.00, 90.00 degrees
With the nearest neighbours (Å) after each atom.
Fractional positions:
Ga 0.0000 0.0000 0.5000  4 Ga 2.79, 4 Sc 2.85, 4 Fe 2.85
Ga 0.0000 0.5000 0.0000  4 Ga 2.79, 4 Fe 2.85, 4 Sc 2.85
Sc 0.5000 0.0000 0.0000  4 Fe 2.79, 8 Ga 2.85
Fe 0.5000 0.5000 0.5000  4 Sc 2.79, 8 Ga 2.85